Model a:
First-principles (GGA-PBE) data for an optimized crystal structure of CoReI2N, as listed in the Alexandria database.

```
CoReI2N
1.0
5.228 0.000 0.000
0.000 5.228 0.000
0.000 0.000 3.372
I Re N Co
2 1 1 1
Direct
0.500 0.000 0.000
0.000 0.500 0.000
0.500 0.500 0.500
0.000 0.000 0.500
0.000 0.000 0.000
```

Summary:
**Total magnetization**: 0.10 μB per atom

Model b:
First-principles (GGA-PBE) data for an optimized crystal structure of CoReI2N, as listed in the Alexandria database.

```
CoReI2N
1.0
-2.957 4.492 1.301
-0.323 -1.732 5.245
3.164 1.849 0.806
N Co I Re
1 1 2 1
Direct
0.000 0.000 0.500
0.500 0.500 0.500
0.000 0.500 0.000
0.500 0.000 0.000
0.000 0.000 0.000
```

Summary:
**Total magnetization**: 0.45 μB per atom

Most stable: model b. Least stable: model a.

Model a:
First-principles (GGA-PBE) data for an optimized crystal structure of CoRhIN2, as listed in the Alexandria database.

```
CoRhIN2
1.0
-2.235 0.560 -2.972
-2.725 -1.976 1.676
-2.820 6.771 3.398
Co N Rh I
1 2 1 1
Direct
0.500 0.500 0.500
0.500 0.000 0.000
0.000 0.500 0.000
0.000 0.000 0.000
0.000 0.000 0.500
```

Summary:
**Total magnetization**: 0.49 μB per atom

Model b:
First-principles (GGA-PBE) data for an optimized crystal structure of CoRhIN2, as listed in the Alexandria database.

```
CoRhIN2
1.0
-3.076 -1.866 -0.109
0.877 -1.627 3.088
-3.464 5.484 3.873
Rh I N Co
1 1 2 1
Direct
0.500 0.500 0.500
0.000 0.000 0.500
0.500 0.000 0.000
0.000 0.500 0.000
0.000 0.000 0.000
```

Summary:
**Total magnetization**: 0.04 μB per atom

Most stable: model b. Least stable: model a.

Model a:
First-principles (GGA-PBE) data for an optimized crystal structure of CoRuI2N, as listed in the Alexandria database.

```
CoRuI2N
1.0
5.238 0.000 0.000
0.000 5.238 0.000
0.000 0.000 3.391
I N Co Ru
2 1 1 1
Direct
0.500 0.000 0.000
0.000 0.500 0.000
0.000 0.000 0.500
0.000 0.000 0.000
0.500 0.500 0.500
```

Summary:
**Total magnetization**: 0.00 μB per atom

Model b:
First-principles (GGA-PBE) data for an optimized crystal structure of CoRuI2N, as listed in the Alexandria database.

```
CoRuI2N
1.0
-2.598 3.788 3.049
-4.222 -3.472 0.718
1.616 -1.337 3.038
I Co Ru N
2 1 1 1
Direct
0.000 0.500 0.000
0.500 0.000 0.000
0.500 0.500 0.500
0.000 0.000 0.000
0.000 0.000 0.500
```

Summary:
**Total magnetization**: 0.46 μB per atom

Most stable: model b. Least stable: model a.

Model a:
First-principles (GGA-PBE) data for an optimized crystal structure of CoS2IN, as listed in the Alexandria database.

```
CoS2IN
1.0
-3.265 3.999 -0.279
-2.889 -2.097 3.740
2.091 1.894 2.677
N S Co I
1 2 1 1
Direct
0.000 0.000 0.500
0.500 0.000 0.000
0.000 0.500 0.000
0.500 0.500 0.500
0.000 0.000 0.000
```

Summary:
**Total magnetization**: 0.57 μB per atom

Model b:
First-principles (GGA-PBE) data for an optimized crystal structure of CoS2IN, as listed in the Alexandria database.

```
CoS2IN
1.0
-0.222 -4.075 2.608
4.661 -0.879 -0.977
0.927 1.764 2.834
N Co I S
1 1 1 2
Direct
0.000 0.000 0.500
0.000 0.000 0.000
0.500 0.500 0.500
0.000 0.500 0.000
0.500 0.000 0.000
```

Summary:
**Total magnetization**: 0.00 μB per atom

Most stable: model b. Least stable: model a.

Model a:
First-principles (GGA-PBE) data for an optimized crystal structure of CoSI2N, as listed in the Alexandria database.

```
CoSI2N
1.0
5.915 0.000 0.000
0.000 5.915 0.000
0.000 0.000 3.348
S Co I N
1 1 2 1
Direct
0.000 0.000 0.000
0.500 0.500 0.500
0.500 0.000 0.000
0.000 0.500 0.000
0.000 0.000 0.500
```

Summary:
**Total magnetization**: 0.42 μB per atom

Model b:
First-principles (GGA-PBE) data for an optimized crystal structure of CoSI2N, as listed in the Alexandria database.

```
CoSI2N
1.0
5.431 0.000 0.000
0.000 5.431 0.000
0.000 0.000 3.434
S N I Co
1 1 2 1
Direct
0.500 0.500 0.500
0.000 0.000 0.500
0.000 0.500 0.000
0.500 0.000 0.000
0.000 0.000 0.000
```

Summary:
**Total magnetization**: 0.00 μB per atom

Most stable: model b. Least stable: model a.

Model a:
First-principles (GGA-PBE) data for an optimized crystal structure of CoSbI2N, as listed in the Alexandria database.

```
CoSbI2N
1.0
-3.334 1.085 3.329
-3.498 -0.824 -3.235
-0.159 -4.671 1.363
I Co N Sb
2 1 1 1
Direct
0.500 0.000 0.000
0.000 0.500 0.000
0.500 0.500 0.500
0.000 0.000 0.000
0.000 0.000 0.500
```

Summary:
**Total magnetization**: 0.48 μB per atom

Model b:
First-principles (GGA-PBE) data for an optimized crystal structure of CoSbI2N, as listed in the Alexandria database.

```
CoSbI2N
1.0
5.603 0.000 0.000
0.000 5.603 0.000
0.000 0.000 3.526
I Sb Co N
2 1 1 1
Direct
0.000 0.500 0.000
0.500 0.000 0.000
0.500 0.500 0.500
0.000 0.000 0.000
0.000 0.000 0.500
```

Summary:
**Total magnetization**: 0.00 μB per atom

Most stable: model b. Least stable: model a.

Model a:
First-principles (GGA-PBE) data for an optimized crystal structure of CoSbI2N, as listed in the Alexandria database.

```
CoSbI2N
1.0
5.153 0.000 0.000
0.000 5.153 0.000
0.000 0.000 4.811
Sb I N Co
1 2 1 1
Direct
0.000 0.000 0.500
0.500 0.000 0.000
0.000 0.500 0.000
0.500 0.500 0.500
0.000 0.000 0.000
```

Summary:
**Total magnetization**: 0.03 μB per atom

Model b:
First-principles (GGA-PBE) data for an optimized crystal structure of CoSbI2N, as listed in the Alexandria database.

```
CoSbI2N
1.0
-1.605 -0.371 5.917
5.924 -0.340 1.586
0.149 3.944 0.288
Sb I Co N
1 2 1 1
Direct
0.000 0.000 0.000
0.500 0.000 0.000
0.000 0.500 0.000
0.500 0.500 0.500
0.000 0.000 0.500
```

Summary:
**Total magnetization**: 0.46 μB per atom

Most stable: model b. Least stable: model a.

Model a:
First-principles (GGA-PBE) data for an optimized crystal structure of ScCoI2N, as listed in the Alexandria database.

```
ScCoI2N
1.0
5.853 0.000 0.000
0.000 5.853 0.000
0.000 0.000 3.887
N I Sc Co
1 2 1 1
Direct
0.000 0.000 0.500
0.000 0.500 0.000
0.500 0.000 0.000
0.000 0.000 0.000
0.500 0.500 0.500
```

Summary:
**Total magnetization**: 0.48 μB per atom

Model b:
First-principles (GGA-PBE) data for an optimized crystal structure of ScCoI2N, as listed in the Alexandria database.

```
ScCoI2N
1.0
5.465 0.000 0.000
0.000 5.465 0.000
0.000 0.000 3.512
Sc I Co N
1 2 1 1
Direct
0.500 0.500 0.500
0.500 0.000 0.000
0.000 0.500 0.000
0.000 0.000 0.000
0.000 0.000 0.500
```

Summary:
**Total magnetization**: 0.02 μB per atom

Most stable: model b. Least stable: model a.

Model a:
First-principles (GGA-PBE) data for an optimized crystal structure of CoSe2IN, as listed in the Alexandria database.

```
CoSe2IN
1.0
5.131 0.000 0.000
0.000 3.476 0.000
0.000 0.000 5.131
Co Se N I
1 2 1 1
Direct
0.000 0.000 0.000
0.500 0.000 0.000
0.000 0.000 0.500
0.000 0.500 0.000
0.500 0.500 0.500
```

Summary:
**Total magnetization**: 0.00 μB per atom

Model b:
First-principles (GGA-PBE) data for an optimized crystal structure of CoSe2IN, as listed in the Alexandria database.

```
CoSe2IN
1.0
5.463 0.000 0.000
0.000 5.463 0.000
0.000 0.000 3.910
N Se Co I
1 2 1 1
Direct
0.000 0.000 0.500
0.500 0.000 0.000
0.000 0.500 0.000
0.500 0.500 0.500
0.000 0.000 0.000
```

Summary:
**Total magnetization**: 0.59 μB per atom

Most stable: model a. Least stable: model b.

Model a:
First-principles (GGA-PBE) data for an optimized crystal structure of CoSnIN2, as listed in the Alexandria database.

```
CoSnIN2
1.0
4.024 0.000 0.000
0.000 4.024 0.000
0.000 0.000 6.892
Sn N I Co
1 2 1 1
Direct
0.000 0.000 0.000
0.500 0.000 0.000
0.000 0.500 0.000
0.000 0.000 0.500
0.500 0.500 0.500
```

Summary:
**Total magnetization**: 0.69 μB per atom

Model b:
First-principles (GGA-PBE) data for an optimized crystal structure of CoSnIN2, as listed in the Alexandria database.

```
CoSnIN2
1.0
4.099 0.000 0.000
0.000 4.099 0.000
0.000 0.000 5.221
I N Co Sn
1 2 1 1
Direct
0.000 0.000 0.500
0.500 0.000 0.000
0.000 0.500 0.000
0.000 0.000 0.000
0.500 0.500 0.500
```

Summary:
**Total magnetization**: 0.74 μB per atom

Most stable: model b. Least stable: model a.

Model a:
First-principles (GGA-PBE) data for an optimized crystal structure of SrCoI2N, as listed in the Alexandria database.

```
SrCoI2N
1.0
-1.791 -1.037 -6.094
5.233 -3.633 -0.920
-2.558 -4.049 1.441
I N Co Sr
2 1 1 1
Direct
0.500 0.000 0.000
0.000 0.500 0.000
0.000 0.000 0.500
0.500 0.500 0.500
0.000 0.000 0.000
```

Summary:
**Total magnetization**: 1.04 μB per atom

Model b:
First-principles (GGA-PBE) data for an optimized crystal structure of SrCoI2N, as listed in the Alexandria database.

```
SrCoI2N
1.0
-4.070 -1.851 -3.513
-1.055 -4.345 3.512
-2.456 2.031 1.775
Sr N I Co
1 1 2 1
Direct
0.500 0.500 0.500
0.000 0.000 0.500
0.500 0.000 0.000
0.000 0.500 0.000
0.000 0.000 0.000
```

Summary:
**Total magnetization**: 0.05 μB per atom

Most stable: model b. Least stable: model a.

Model a:
First-principles (GGA-PBE) data for an optimized crystal structure of TaCoIN2, as listed in the Alexandria database.

```
TaCoIN2
1.0
-1.148 -3.440 1.401
2.629 -1.789 -2.237
3.261 0.357 3.548
N Ta Co I
2 1 1 1
Direct
0.000 0.500 0.000
0.500 0.000 0.000
0.500 0.500 0.500
0.000 0.000 0.000
0.000 0.000 0.500
```

Summary:
**Total magnetization**: 0.14 μB per atom

Model b:
First-principles (GGA-PBE) data for an optimized crystal structure of TaCoIN2, as listed in the Alexandria database.

```
TaCoIN2
1.0
-0.884 -2.469 -3.003
-1.974 -2.368 2.528
-5.018 3.067 -1.045
N I Ta Co
2 1 1 1
Direct
0.000 0.500 0.000
0.500 0.000 0.000
0.000 0.000 0.500
0.000 0.000 0.000
0.500 0.500 0.500
```

Summary:
**Total magnetization**: 0.48 μB per atom

Most stable: model b. Least stable: model a.

Model a:
First-principles (GGA-PBE) data for an optimized crystal structure of CoTcIN2, as listed in the Alexandria database.

```
CoTcIN2
1.0
3.827 0.000 0.000
0.000 3.827 0.000
0.000 0.000 5.901
N Co Tc I
2 1 1 1
Direct
0.000 0.500 0.000
0.500 0.000 0.000
0.500 0.500 0.500
0.000 0.000 0.000
0.000 0.000 0.500
```

Summary:
**Total magnetization**: 0.40 μB per atom

Model b:
First-principles (GGA-PBE) data for an optimized crystal structure of CoTcIN2, as listed in the Alexandria database.

```
CoTcIN2
1.0
3.785 0.000 0.000
0.000 3.785 0.000
0.000 0.000 5.456
N Tc I Co
2 1 1 1
Direct
0.500 0.000 0.000
0.000 0.500 0.000
0.500 0.500 0.500
0.000 0.000 0.500
0.000 0.000 0.000
```

Summary:
**Total magnetization**: 0.11 μB per atom

Most stable: model a. Least stable: model b.